Entry 1:
# LaYCdRu | Alexandria | PBE-GGA | optimized geometry
# Magnetic moment = 0.00 μB per cell
# Energy of formation = -0.21 eV per atom
# Excess energy over the best structure of this formula in the dataset = 103.2 meV per atom
data_LaYCdRu
_chemical_formula_sum 'La4 Y4 Cd4 Ru4'
_space_group_name_H-M_alt 'F -4 3 m'
_space_group_IT_number 216
_space_group_name_Hall 'F -4 2 3'
_cell_length_a 7.312
_cell_length_b 7.312
_cell_length_c 7.312
_cell_angle_alpha 90.00
_cell_angle_beta 90.00
_cell_angle_gamma 90.00
loop_
_atom_site_label
_atom_site_type_symbol
_atom_site_fract_x
_atom_site_fract_y
_atom_site_fract_z
_atom_site_occupancy
La1 La 0.000 0.000 0.000 1
Y1 Y 0.000 0.000 0.500 1
Cd1 Cd 0.250 0.250 0.250 1
Ru1 Ru 0.250 0.250 0.750 1

Entry 2:
# LaZrCdRu2 | Alexandria | PBE-GGA | optimized geometry
# Magnetic moment = 0.45 μB per cell
# Energy of formation = 1.48 eV per atom
data_LaZrCdRu2
_chemical_formula_sum 'La1 Zr1 Cd1 Ru2'
_space_group_name_H-M_alt 'P 4/m m m'
_space_group_IT_number 123
_space_group_name_Hall '-P 4 2'
_cell_length_a 4.964
_cell_length_b 4.964
_cell_length_c 5.284
_cell_angle_alpha 90.00
_cell_angle_beta 90.00
_cell_angle_gamma 90.00
loop_
_atom_site_label
_atom_site_type_symbol
_atom_site_fract_x
_atom_site_fract_y
_atom_site_fract_z
_atom_site_occupancy
La1 La 0.000 0.000 0.000 1
Zr1 Zr 0.500 0.500 0.000 1
Cd1 Cd 0.000 0.000 0.500 1
Ru1 Ru 0.000 0.500 0.500 1

Entry 3:
# LaZr2CdRu | Alexandria | PBE-GGA | optimized geometry
# Magnetic moment = 1.37 μB per cell
# Energy of formation = 1.03 eV per atom
data_LaZr2CdRu
_chemical_formula_sum 'La1 Zr2 Cd1 Ru1'
_space_group_name_H-M_alt 'P 4/m m m'
_space_group_IT_number 123
_space_group_name_Hall '-P 4 2'
_cell_length_a 5.265
_cell_length_b 5.265
_cell_length_c 5.000
_cell_angle_alpha 90.00
_cell_angle_beta 90.00
_cell_angle_gamma 90.00
loop_
_atom_site_label
_atom_site_type_symbol
_atom_site_fract_x
_atom_site_fract_y
_atom_site_fract_z
_atom_site_occupancy
La1 La 0.000 0.000 0.000 1
Zr1 Zr 0.000 0.500 0.500 1
Cd1 Cd 0.500 0.500 0.500 1
Ru1 Ru 0.500 0.500 0.000 1

Q: What is the energy of formation in the third record?
A: 1.03 eV per atom